# 1
Material: Sc2Ta4Zn3C3
Method: DFT, PBE
State: optimized geometry

```
Sc2Ta4Zn3C3
1.0
4.7620 -2.7493 0.0000
4.7620 2.7493 0.0000
-3.2502 0.0000 13.8569
Sc Ta Zn C
4 8 6 6
direct
0.0354 0.8759 0.6042
0.1241 0.9646 0.8958
0.8759 0.0354 0.1042
0.9646 0.1241 0.3958
0.1935 0.3534 0.0821
0.2974 0.4817 0.4179
0.3534 0.1935 0.5821
0.4817 0.2974 0.9179
0.5183 0.7026 0.0821
0.6466 0.8065 0.4179
0.7026 0.5183 0.5821
0.8065 0.6466 0.9179
0.0856 0.3877 0.7515
0.3877 0.0856 0.2515
0.4413 0.5587 0.2500
0.5587 0.4413 0.7500
0.6123 0.9144 0.7485
0.9144 0.6123 0.2485
0.0000 0.5000 0.5000
0.1682 0.6635 0.0000
0.3365 0.8318 0.5000
0.5000 0.0000 0.0000
0.6635 0.1682 0.5000
0.8318 0.3365 0.0000
```

Output
symmetry = C2/c, No. 15
final energy = -8.131 eV/atom

# 2
Material: TbScTeC
Method: DFT, PBE
State: optimized geometry

```
TbScTeC
1.0
3.7177 0.0000 0.0000
-1.8588 3.2196 0.0000
0.0000 0.0000 13.6867
Tb Sc Te C
2 2 2 2
direct
0.0000 0.0000 0.1669
0.0000 0.0000 0.8331
0.6667 0.3333 0.3498
0.6667 0.3333 0.6502
0.0000 0.0000 0.5000
0.6667 0.3333 0.0000
0.3333 0.6667 0.2632
0.3333 0.6667 0.7368
```

Output
symmetry = P-6m2, No. 187
energy above the most stable polymorph in this dataset = 1.3 meV per atom

# 3
Material: TbScTeC
Method: DFT, PBE
State: optimized geometry

```
TbScTeC
1.0
3.7201 0.0000 0.0000
-1.8600 3.2217 0.0000
0.0000 0.0000 13.6789
Tb Sc Te C
2 2 2 2
direct
0.3333 0.6667 0.0000
0.6667 0.3333 0.5000
0.3333 0.6667 0.6834
0.6667 0.3333 0.1834
0.3333 0.6667 0.3323
0.6667 0.3333 0.8323
0.0000 0.0000 0.0962
0.0000 0.0000 0.5962
```

Output
symmetry = P6_3mc, No. 186
energy above the most stable polymorph in this dataset = 0.0 meV per atom

| no. | total moment (μB/cell) | volume (Å³ per atom) |
| --- | --- | --- |
| 1 | 0.0 | 15.118 |
| 2 | 0.0 | 20.478 |
| 3 | 0.0 | 20.493 |